VASP calculation (PBE) on an optimized crystal structure of SiH3Pt.

For the density of states at the Fermi level, the calculation gives 0.148 states/eV/atom. For the energy relative to the lowest polymorph listed for this composition, the calculation gives 0.0 meV/atom. The theoretical density is 7.9 g/cm³. The value obtained for the raw total energy is -19.577 eV/f.u.

The structure belongs to space group Pm-3m (No. 221); the cell edges are 3.617, 3.617 and 3.617 Å and the angles 90.00°, 90.00° and 90.00°. The asymmetric unit holds Si at (0.000, 0.000, 0.000), H at (0.000, 0.500, 0.500) and Pt at (0.500, 0.500, 0.500).